# 1
Density functional theory data (meta-GGA SCAN) for GeSbW2F at its PBEsol-relaxed geometry.

Cell: 4.213 4.213 4.619 Å, 90.00 90.00 90.00°
Sites, in units of the cell vectors:
W1 0.500 0.000 0.000
W2 0.000 0.500 0.000
F1 0.000 0.000 0.000
Sb1 0.500 0.500 0.500
Ge1 0.000 0.000 0.500

Calculated values
calculated volume	82.0	Å³/cell
ρ	11.77	g/cm³
uncorrected formation energy	1.051	eV/atom
total DFT energy (no corrections)	-38.802	eV per atom
D(E_F)	3.49	states/eV/f.u.

***

# 2
Density functional theory data (meta-GGA SCAN) for ScGeF2 at its PBEsol-relaxed geometry.

Cell: 4.251 4.251 4.251 Å, 60.00 60.00 60.00°
Sites, in units of the cell vectors:
F1 0.750 0.750 0.750
Sc1 0.000 0.000 0.000
F2 0.250 0.250 0.250
Ge1 0.500 0.500 0.500

Calculated values
calculated volume	54.3	Å³/cell
ρ	4.76	g/cm³
uncorrected formation energy	-1.452	eV/atom
total DFT energy (no corrections)	-11.553	eV per atom
D(E_F)	3.75	states/eV/f.u.

***

# 3
Density functional theory data (meta-GGA SCAN) for SiGe3F at its PBEsol-relaxed geometry.

Cell: 4.706 4.706 4.706 Å, 90.00 90.00 90.00°
Sites, in units of the cell vectors:
F1 0.500 0.500 0.500
Ge1 0.500 0.000 0.000
Ge2 0.000 0.000 0.500
Ge3 0.000 0.500 0.000
Si1 0.000 0.000 0.000

Calculated values
calculated volume	104.2	Å³/cell
ρ	4.22	g/cm³
uncorrected formation energy	0.465	eV/atom
total DFT energy (no corrections)	-13.699	eV per atom
D(E_F)	3.26	states/eV/f.u.

***

# 4
Density functional theory data (meta-GGA SCAN) for YSi2GeF at its PBEsol-relaxed geometry.

Cell: 4.457 4.538 4.538 Å, 90.00 90.00 90.00°
Sites, in units of the cell vectors:
Si1 0.000 0.500 0.000
Ge1 0.500 0.500 0.500
F1 0.000 0.000 0.000
Y1 0.500 0.000 0.000
Si2 0.000 0.000 0.500

Calculated values
calculated volume	91.8	Å³/cell
ρ	4.28	g/cm³
uncorrected formation energy	-0.263	eV/atom
total DFT energy (no corrections)	-14.364	eV per atom
D(E_F)	2.02	states/eV/f.u.

***

# 5
Density functional theory data (meta-GGA SCAN) for TaGe3F at its PBEsol-relaxed geometry.

Cell: 4.331 4.331 4.331 Å, 90.00 90.00 90.00°
Sites, in units of the cell vectors:
Ge1 0.000 0.500 0.000
F1 0.000 0.000 0.000
Ge2 0.500 0.000 0.000
Ta1 0.500 0.500 0.500
Ge3 0.000 0.000 0.500

Calculated values
calculated volume	81.3	Å³/cell
ρ	8.54	g/cm³
uncorrected formation energy	0.309	eV/atom
total DFT energy (no corrections)	-25.169	eV per atom
D(E_F)	3.12	states/eV/f.u.
energy above the most stable polymorph in this dataset	1.75	kcal/mol of atoms

***

# 6
Density functional theory data (meta-GGA SCAN) for TaGe3F at its PBEsol-relaxed geometry.

Cell: 4.924 4.924 4.924 Å, 90.00 90.00 90.00°
Each line ends with the local moment (μB).
Sites, in units of the cell vectors:
Ge1 0.000 0.500 0.000  -0.03
Ge2 0.000 0.000 0.500  -0.03
Ta1 0.000 0.000 0.000  0.08
F1 0.500 0.500 0.500  0.09
Ge3 0.500 0.000 0.000  -0.03

Calculated values
calculated volume	119.4	Å³/cell
ρ	5.81	g/cm³
uncorrected formation energy	0.232	eV/atom
total DFT energy (no corrections)	-25.245	eV per atom
D(E_F)	6.32	states/eV/f.u.
energy above the most stable polymorph in this dataset	0.00	kcal/mol of atoms

***

# 7
Density functional theory data (meta-GGA SCAN) for Ge2TeF2 at its PBEsol-relaxed geometry.

Cell: 4.498 4.498 5.404 Å, 114.59 114.59 90.00°
Sites, in units of the cell vectors:
Te1 0.000 0.000 0.000
F1 0.656 0.656 0.312
F2 0.344 0.344 0.688
Ge1 0.750 0.250 0.500
Ge2 0.250 0.750 0.500

Calculated values
calculated volume	88.4	Å³/cell
ρ	5.84	g/cm³
uncorrected formation energy	-0.805	eV/atom
total DFT energy (no corrections)	-17.307	eV per atom
D(E_F)	0.31	states/eV/f.u.

***

# 8
Density functional theory data (meta-GGA SCAN) for Ti2GeF2 at its PBEsol-relaxed geometry.

Cell: 3.343 3.343 5.999 Å, 106.18 106.18 90.00°
Sites, in units of the cell vectors:
Ti1 0.622 0.622 0.244
Ge1 0.000 0.000 0.000
F1 0.250 0.750 0.500
Ti2 0.378 0.378 0.756
F2 0.750 0.250 0.500

Calculated values
calculated volume	61.6	Å³/cell
ρ	5.56	g/cm³
uncorrected formation energy	-2.002	eV/atom
total DFT energy (no corrections)	-13.648	eV per atom
D(E_F)	3.81	states/eV/f.u.